NdYMgNi | PBE | optimized geometry

Cell and atoms, written as CIF:
```
data_NdYMgNi
_cell_length_a 7.2764
_cell_length_b 7.2764
_cell_length_c 7.2764
_cell_angle_alpha 90.00
_cell_angle_beta 90.00
_cell_angle_gamma 90.00
_symmetry_space_group_name_H-M 'F -4 3 m'
_symmetry_Int_Tables_number 216
_symmetry_space_group_name_Hall 'F -4 2 3'
loop_
_atom_site_label
_atom_site_type_symbol
_atom_site_fract_x
_atom_site_fract_y
_atom_site_fract_z
Nd1 Nd 0.0000 0.0000 0.0000
Y1 Y 0.0000 0.0000 0.5000
Mg1 Mg 0.2500 0.2500 0.2500
Ni1 Ni 0.2500 0.2500 0.7500
```

## Properties
Total DFT energy (no corrections)   -4.7281 eV/atom
Fermi-level density of states   14.70 states/eV/cell
Calculated formation energy   -0.08 eV/atom
Total magnetization   0.0 μB per cell

---

NdMgZnNi | PBE | optimized geometry

Cell and atoms, written as CIF:
```
data_NdMgZnNi
_cell_length_a 6.8057
_cell_length_b 6.8057
_cell_length_c 6.8057
_cell_angle_alpha 90.00
_cell_angle_beta 90.00
_cell_angle_gamma 90.00
_symmetry_space_group_name_H-M 'F -4 3 m'
_symmetry_Int_Tables_number 216
_symmetry_space_group_name_Hall 'F -4 2 3'
loop_
_atom_site_label
_atom_site_type_symbol
_atom_site_fract_x
_atom_site_fract_y
_atom_site_fract_z
Nd1 Nd 0.0000 0.0000 0.0000
Mg1 Mg 0.0000 0.0000 0.5000
Zn1 Zn 0.2500 0.2500 0.2500
Ni1 Ni 0.2500 0.2500 0.7500
```

## Properties
Total DFT energy (no corrections)   -3.5748 eV/atom
Fermi-level density of states   10.19 states/eV/cell
Calculated formation energy   -0.22 eV/atom
Total magnetization   0.0 μB per cell

---

NdMgZn2Ni2 | PBE | optimized geometry

Cell and atoms, written as CIF:
```
data_NdMgZn2Ni2
_cell_length_a 4.2677
_cell_length_b 4.2677
_cell_length_c 6.6649
_cell_angle_alpha 90.00
_cell_angle_beta 90.00
_cell_angle_gamma 120.00
_symmetry_space_group_name_H-M 'P -3 m 1'
_symmetry_Int_Tables_number 164
_symmetry_space_group_name_Hall '-P 3 2"'
loop_
_atom_site_label
_atom_site_type_symbol
_atom_site_fract_x
_atom_site_fract_y
_atom_site_fract_z
Nd1 Nd 0.0000 0.0000 0.0000
Mg1 Mg 0.0000 0.0000 0.5000
Zn1 Zn 0.3333 0.6667 0.3038
Ni1 Ni 0.3333 0.6667 0.6984
```

## Properties
Total DFT energy (no corrections)   -3.7118 eV/atom
Fermi-level density of states   2.04 states/eV/cell
Calculated formation energy   -0.30 eV/atom
Total magnetization   0.0 μB per cell

---

NdMg2ZnNi2 | PBE | optimized geometry

Cell and atoms, written as CIF:
```
data_NdMg2ZnNi2
_cell_length_a 4.9649
_cell_length_b 4.9649
_cell_length_c 10.0693
_cell_angle_alpha 90.00
_cell_angle_beta 90.00
_cell_angle_gamma 90.00
_symmetry_space_group_name_H-M 'I 4/m m m'
_symmetry_Int_Tables_number 139
_symmetry_space_group_name_Hall '-I 4 2'
loop_
_atom_site_label
_atom_site_type_symbol
_atom_site_fract_x
_atom_site_fract_y
_atom_site_fract_z
Nd1 Nd 0.0000 0.0000 0.0000
Mg1 Mg 0.0000 0.5000 0.2500
Zn1 Zn 0.0000 0.0000 0.5000
Ni1 Ni 0.0000 0.0000 0.2699
```

## Properties
Total DFT energy (no corrections)   -3.4609 eV/atom
Fermi-level density of states   8.27 states/eV/cell
Calculated formation energy   0.00 eV/atom
Total magnetization   0.0 μB per cell